PBE-GGA HoTl2GeTe4, relaxed; calculated total energy = -31.0 eV per cell; crystal system = monoclinic; DOS(E_F) = 5.7 states/eV/cell; formation energy (no corrections) = -0.562 eV per atom
1.0
7.759 0.000 0.000
0.000 4.374 0.000
-2.600 0.000 7.766
Ho Tl Ge Te
1 2 1 4
Direct
0.000 0.000 0.000
0.000 0.500 0.500
0.500 0.000 0.500
0.500 0.500 0.000
0.244 0.500 0.213
0.264 0.000 0.788
0.736 0.000 0.212
0.756 0.500 0.787